[1]
Here is Mg3Tl after structural relaxation from Alexandria via LeMat-Bulk. Energies are from GGA-PBE.

Cell and atoms, written as extended XYZ:
```
4
Lattice="3.356 0.000 0.000 -1.678 2.906 0.000 0.000 0.000 9.977" Properties=species:S:1:pos:R:3 pbc="T T T"
Mg 0.000 0.000 0.000
Mg 0.000 1.937 2.512
Mg 0.000 1.937 7.465
Tl 0.000 0.000 4.989
```

The total energy is -1.783 eV/atom. The space group is No. 187. Its density of states at the Fermi level is 1.3 states/eV/f.u. The value obtained for the density is 4.73 g/cm³.

---

[2]
Here is Mg3Tl after structural relaxation from Alexandria via LeMat-Bulk. Energies are from GGA-PBE.

Cell and atoms, written as extended XYZ:
```
8
Lattice="5.722 0.000 0.000 0.000 5.722 0.000 0.000 0.000 5.722" Properties=species:S:1:pos:R:3 pbc="T T T"
Mg 0.000 1.431 2.861
Mg 0.000 4.292 2.861
Mg 1.431 2.861 0.000
Mg 2.861 0.000 1.431
Mg 2.861 0.000 4.292
Mg 4.292 2.861 0.000
Tl 0.000 0.000 0.000
Tl 2.861 2.861 2.861
```

The total energy is -1.793 eV/atom. The space group is No. 223. Its density of states at the Fermi level is 1.5 states/eV/f.u. The value obtained for the density is 4.92 g/cm³.

---

[3]
Here is Tm3MgTl4 after structural relaxation from Alexandria via LeMat-Bulk. Energies are from GGA-PBE.

Cell and atoms, written as extended XYZ:
```
8
Lattice="-1.724 3.394 9.362 1.724 -3.394 9.362 1.724 3.394 -9.362" Properties=species:S:1:pos:R:3 pbc="T T T"
Tm 0.000 0.000 0.000
Tm 1.724 0.000 5.043
Tm 0.000 3.394 4.318
Mg 0.000 0.000 9.362
Tl 1.724 1.597 -2.306
Tl 1.724 1.597 2.306
Tl 0.000 1.797 7.056
Tl 0.000 1.797 11.667
```

The total energy is -3.210 eV/atom. The space group is No. 71. Its energy relative to the lowest polymorph listed for this composition is 0.087 eV per atom. Its density of states at the Fermi level is 4.1 states/eV/f.u. The value obtained for the density is 10.22 g/cm³.

---

[4]
Here is Tm2MgTl2 after structural relaxation from Alexandria via LeMat-Bulk. Energies are from GGA-PBE.

Cell and atoms, written as extended XYZ:
```
10
Lattice="7.726 0.000 0.000 0.000 7.726 0.000 0.000 0.000 4.435" Properties=species:S:1:pos:R:3 pbc="T T T"
Tm 1.290 2.574 0.000
Tm 2.574 6.437 0.000
Tm 5.153 1.290 0.000
Tm 6.437 5.153 0.000
Mg 0.000 0.000 2.218
Mg 3.863 3.863 2.218
Tl 1.071 4.934 2.218
Tl 2.792 1.071 2.218
Tl 4.934 6.655 2.218
Tl 6.655 2.792 2.218
```

The total energy is -3.301 eV/atom. The space group is No. 127. Its energy relative to the lowest polymorph listed for this composition is 0.000 eV per atom. Its density of states at the Fermi level is 3.8 states/eV/f.u. The value obtained for the density is 9.67 g/cm³.

---

[5]
Here is Tm3MgTl3 after structural relaxation from Alexandria via LeMat-Bulk. Energies are from GGA-PBE.

Cell and atoms, written as extended XYZ:
```
14
Lattice="8.934 0.000 0.000 -4.467 7.737 0.000 0.000 0.000 5.512" Properties=species:S:1:pos:R:3 pbc="T T T"
Tm -1.985 4.987 1.378
Tm 1.140 3.524 1.378
Tm 3.622 0.774 4.134
Tm 0.845 6.962 1.378
Tm 3.326 4.213 4.134
Tm 6.452 2.750 4.134
Mg 0.000 5.158 4.134
Mg 4.467 2.579 1.378
Tl -3.071 6.176 4.134
Tl 0.654 1.989 4.134
Tl 2.049 0.429 1.378
Tl 2.417 7.308 4.134
Tl 3.813 5.748 1.378
Tl 7.538 1.561 1.378
```

The total energy is -3.279 eV/atom. The space group is No. 176. Its density of states at the Fermi level is 5.3 states/eV/f.u. The value obtained for the density is 9.98 g/cm³.

---

[6]
Here is Tm3MgTl after structural relaxation from Alexandria via LeMat-Bulk. Energies are from GGA-PBE.

Cell and atoms, written as extended XYZ:
```
20
Lattice="8.211 -3.057 0.000 8.211 3.057 0.000 -2.973 0.000 10.853" Properties=species:S:1:pos:R:3 pbc="T T T"
Tm 1.007 0.263 8.167
Tm 5.934 1.586 5.438
Tm 2.494 -0.263 2.741
Tm 6.029 1.586 10.841
Tm 4.331 0.342 8.094
Tm 5.817 -0.342 2.668
Tm 7.632 0.342 8.185
Tm 9.119 -0.342 2.758
Tm 7.421 -1.586 0.011
Tm 10.956 0.263 8.112
Tm 7.516 -1.586 5.415
Tm 12.443 -0.263 2.686
Mg 2.743 1.474 10.774
Mg 9.220 1.474 5.505
Mg 4.230 -1.474 5.348
Mg 10.707 -1.474 0.079
Tl 2.619 1.528 5.426
Tl 7.468 2.605 2.713
Tl 4.106 -1.528 0.000
Tl 5.982 -2.605 8.140
```

The total energy is -3.553 eV/atom. The space group is No. 15. Its energy relative to the lowest polymorph listed for this composition is 0.091 eV per atom. Its density of states at the Fermi level is 5.4 states/eV/f.u. The value obtained for the density is 8.97 g/cm³.